*i*
Below is an optimized crystal structure of CsSbAu3, with properties calculated at the PBE-GGA level.

Output
The space-group type is No. 99. Its density of states at the Fermi level is 1.73 states/eV/cell.

Unit cell a=5.004 b=5.004 c=5.708 alpha=90.00 beta=90.00 gamma=90.00
Element x y z (fractional)
Cs  0.500  0.500  0.830
Sb  0.000  0.000  0.125
Au  0.000  0.000  0.631
Au  0.500  0.000  0.339
Au  0.000  0.500  0.339



*ii*
Below is an optimized crystal structure of CsSbAu3, with properties calculated at the PBE-GGA level.

Output
The space-group type is No. 1. Its density of states at the Fermi level is 0.02 states/eV/cell.

Unit cell a=5.143 b=7.189 c=10.028 alpha=113.62 beta=93.32 gamma=109.68
Element x y z (fractional)
Cs  0.754  0.943  0.357
Cs  0.132  0.627  0.907
Sb  0.561  0.526  0.531
Sb  0.924  0.170  0.062
Au  0.109  0.832  0.624
Au  0.369  0.187  0.917
Au  0.511  0.330  0.223
Au  0.692  0.977  0.747
Au  0.081  0.484  0.361
Au  0.451  0.248  0.657



*iii*
Below is an optimized crystal structure of CsSbAu3, with properties calculated at the PBE-GGA level.

Output
The space-group type is No. 1. Its density of states at the Fermi level is 0.00 states/eV/cell.

Unit cell a=5.288 b=8.222 c=8.463 alpha=70.18 beta=96.82 gamma=77.96
Element x y z (fractional)
Cs  0.123  0.612  0.494
Cs  0.255  0.575  0.024
Sb  0.565  0.156  0.477
Sb  0.963  0.096  0.941
Au  0.095  0.065  0.605
Au  0.759  0.451  0.811
Au  0.646  0.071  0.197
Au  0.482  0.022  0.890
Au  0.155  0.086  0.265
Au  0.605  0.804  0.684



Which is most stable? The ranking, best first, is *ii*, *iii*, *i*.



*i*
Below is an optimized crystal structure of CsSbAu3, with properties calculated at the PBE-GGA level.

Output
The space-group type is No. 63. Its density of states at the Fermi level is 2.20 states/eV/cell.

Unit cell a=9.990 b=9.990 c=6.294 alpha=90.00 beta=90.00 gamma=149.05
Element x y z (fractional)
Cs  0.190  0.810  0.250
Cs  0.810  0.190  0.750
Sb  0.498  0.502  0.250
Sb  0.502  0.498  0.750
Au  0.627  0.884  0.250
Au  0.116  0.373  0.250
Au  0.884  0.627  0.750
Au  0.373  0.116  0.750
Au  0.000  0.000  0.000
Au  0.000  0.000  0.500



*ii*
Below is an optimized crystal structure of CsSbAu3, with properties calculated at the PBE-GGA level.

Output
The space-group type is No. 148. Its density of states at the Fermi level is 0.00 states/eV/cell.

Unit cell a=11.584 b=11.584 c=11.584 alpha=28.47 beta=28.47 gamma=28.47
Element x y z (fractional)
Cs  0.373  0.373  0.373
Cs  0.627  0.627  0.627
Sb  0.094  0.094  0.094
Sb  0.906  0.906  0.906
Au  0.547  0.127  0.725
Au  0.127  0.725  0.547
Au  0.275  0.453  0.873
Au  0.873  0.275  0.453
Au  0.453  0.873  0.275
Au  0.725  0.547  0.127



Which is most stable? The ranking, best first, is *ii*, *i*.